## Bi2SbMoO8 (PBE with a Hubbard U)

Data for an optimized crystal structure of Bi2SbMoO8.

Cell lengths 5.1343, 5.1343, 6.6336 Å; angles 90.00, 90.00, 91.15 degrees
Last column: nearest neighbours and their distance in Å.
Fractional coordinates of all 12 atoms:
Bi 0.0000 0.0000 0.2491  6 O 2.28-2.39
Bi 0.0000 0.0000 0.7509  6 O 2.28-2.39
Sb 0.5000 0.5000 0.0000  6 O 2.02-2.07
Mo 0.5000 0.5000 0.5000  6 O 1.89-2.11
O 0.2194 0.2194 0.0000  1 Sb 2.02
O 0.2373 0.2373 0.5000  1 Mo 1.89
O 0.3264 0.6736 0.2454  1 Sb 2.07, 1 Mo 2.11
O 0.3264 0.6736 0.7546  1 Sb 2.07, 1 Mo 2.11
O 0.6736 0.3264 0.2454  1 Sb 2.07, 1 Mo 2.11
O 0.6736 0.3264 0.7546  1 Sb 2.07, 1 Mo 2.11
O 0.7627 0.7627 0.5000  1 Mo 1.89
O 0.7806 0.7806 0.0000  1 Sb 2.02

Total DFT energy (no corrections), eV/cell: -75.0
Space group: Cmmm, No. 65